Here is crystalline Sm2Dy12Y at its relaxed geometry from Alexandria. Energies are from PBE.

Geometry as POSCAR:
```
Sm2Dy12Y
1.0
-1.013 -6.328 -0.186
5.944 -1.016 2.176
-8.489 0.667 23.498
Sm Dy Y
4 24 2
Direct
0.500 0.000 0.272
0.000 0.500 0.272
0.000 0.500 0.728
0.500 0.000 0.728
0.500 0.500 0.784
0.000 0.000 0.784
0.815 0.685 0.883
0.315 0.815 0.883
0.000 0.000 0.340
0.185 0.685 0.117
0.832 0.332 0.561
0.500 0.500 0.340
0.185 0.315 0.883
0.685 0.815 0.117
0.332 0.168 0.561
0.668 0.168 0.439
0.000 0.000 0.660
0.168 0.332 0.439
0.315 0.185 0.117
0.832 0.668 0.439
0.668 0.832 0.561
0.000 0.000 0.216
0.168 0.668 0.561
0.500 0.500 0.660
0.685 0.185 0.883
0.500 0.500 0.216
0.332 0.832 0.439
0.815 0.315 0.117
0.500 0.000 0.000
0.000 0.500 0.000
```

Summary:
E_form, eV per atom: 0.33
Space group: P4/nbm (125)

---

Here is crystalline NaBeF4 at its relaxed geometry from Alexandria. Energies are from PBE.

Geometry as POSCAR:
```
NaBeF4
1.0
4.930 0.000 0.000
0.000 4.930 0.000
-2.465 -2.465 5.705
Na Be F
2 2 8
Direct
0.000 0.000 0.000
0.750 0.250 0.500
0.500 0.500 0.000
0.250 0.750 0.500
0.060 0.917 0.353
0.186 0.310 0.853
0.667 0.543 0.853
0.293 0.436 0.353
0.457 0.814 0.147
0.083 0.707 0.647
0.564 0.940 0.647
0.690 0.333 0.147
```

Summary:
Formation energy from raw total energies, eV per atom: -2.486
Energy relative to the lowest polymorph listed for this composition, meV/atom: 0
Space group: I4_1/a (88)

---

What did the first record say?
Here is crystalline Sm2Dy12Y at its relaxed geometry from Alexandria. Energies are from PBE.

Geometry as POSCAR:
```
Sm2Dy12Y
1.0
-1.013 -6.328 -0.186
5.944 -1.016 2.176
-8.489 0.667 23.498
Sm Dy Y
4 24 2
Direct
0.500 0.000 0.272
0.000 0.500 0.272
0.000 0.500 0.728
0.500 0.000 0.728
0.500 0.500 0.784
0.000 0.000 0.784
0.815 0.685 0.883
0.315 0.815 0.883
0.000 0.000 0.340
0.185 0.685 0.117
0.832 0.332 0.561
0.500 0.500 0.340
0.185 0.315 0.883
0.685 0.815 0.117
0.332 0.168 0.561
0.668 0.168 0.439
0.000 0.000 0.660
0.168 0.332 0.439
0.315 0.185 0.117
0.832 0.668 0.439
0.668 0.832 0.561
0.000 0.000 0.216
0.168 0.668 0.561
0.500 0.500 0.660
0.685 0.185 0.883
0.500 0.500 0.216
0.332 0.832 0.439
0.815 0.315 0.117
0.500 0.000 0.000
0.000 0.500 0.000
```

Summary:
E_form, eV per atom: 0.33
Space group: P4/nbm (125)